1.
PBE MgCo3C, relaxed; theoretical density = 6.61 Mg/m³; total magnetic moment = 0.010 μB/atom; VASP energy = -0.23815 Ha/atom
1.0
-0.2593 0.6011 -3.7119
3.3418 -1.6691 -0.5038
-1.7240 -3.3257 -0.4181
C Co Mg
1 3 1
Cartesian
0.6792 -2.1968 -2.3169
1.5412 -0.5340 -2.1079
-0.9917 -1.3623 -2.0650
0.8089 -2.4974 -0.4609
0.0000 0.0000 0.0000


2.
PBE NaAgTePt, relaxed; theoretical density = 9.31 Mg/m³; total magnetic moment = 0.000 μB/atom; VASP energy = -0.12149 Ha/atom
1.0
0.3760 1.7096 4.5271
-3.9863 1.3185 2.4351
-1.5542 -2.6739 3.7408
Ag Na Pt Te
1 1 1 1
Cartesian
-1.2912 0.0886 2.6758
-3.8735 0.2657 8.0273
-2.5823 0.1771 5.3515
0.0000 0.0000 0.0000


3.
PBE CoCl, relaxed; theoretical density = 5.48 Mg/m³; total magnetic moment = 1.000 μB/atom; VASP energy = -0.14613 Ha/atom
1.0
-2.3199 -0.8975 -1.7776
1.9746 -1.3899 -1.8752
-0.2576 -2.5710 1.6343
Cl Co
1 1
Cartesian
0.0000 0.0000 0.0000
-0.3014 -2.4292 -1.0093


4.
PBE DyHo2Al3CoCu2, relaxed; theoretical density = 7.54 Mg/m³; total magnetic moment = 0.003 μB/atom; VASP energy = -0.17809 Ha/atom
1.0
-3.0944 -2.3911 1.0113
3.9165 -3.0295 4.8210
-3.7714 5.5622 1.6117
Al Co Cu Dy Ho
3 1 2 1 2
Cartesian
1.4736 -3.5315 4.2258
-1.5140 -0.6165 1.9764
-4.4560 3.0952 1.7505
0.0002 0.0029 0.0073
-0.1889 -1.3669 4.2568
-2.7604 1.5069 3.1833
0.0856 1.4941 3.7948
2.3725 -0.7527 5.4798
-2.1680 4.3215 3.5844


5.
PBE Pr3Pd2PtPb3, relaxed; theoretical density = 10.80 Mg/m³; total magnetic moment = 0.001 μB/atom; VASP energy = -0.19827 Ha/atom
1.0
7.8580 0.0000 0.0000
-3.9290 6.8052 0.0000
0.0000 0.0000 4.1750
Pb Pd Pr Pt
3 2 3 1
Cartesian
5.8299 0.0000 0.0000
1.0141 1.7564 0.0000
-2.9150 5.0489 0.0000
3.9290 2.2684 0.0000
0.0000 4.5368 0.0000
3.1834 0.0000 2.0875
-1.5917 2.7569 2.0875
2.3373 4.0483 2.0875
0.0000 0.0000 2.0875


6.
PBE RbNdTeSe, relaxed; theoretical density = 4.97 Mg/m³; total magnetic moment = 0.001 μB/atom; VASP energy = -0.17096 Ha/atom
1.0
2.2503 1.2992 8.3081
-2.2503 1.2992 8.3081
0.0000 -2.5985 8.3081
Nd Rb Se Te
1 1 1 1
Cartesian
0.0000 0.0000 12.6026
0.0000 0.0000 24.8325
0.0000 0.0000 5.8189
0.0000 0.0000 19.0570


7.
PBE CsAgTe4, relaxed; theoretical density = 5.50 Mg/m³; VASP energy = -0.11053 Ha/atom
1.0
9.5909 0.0000 0.0000
0.0000 4.5419 0.0000
-4.0206 0.0000 10.4209
Ag Cs Te
2 2 8
Cartesian
5.0910 1.1355 0.9310
0.4793 3.4064 9.4900
1.6631 3.4064 2.1359
3.9072 1.1355 8.2850
6.8663 3.4064 0.7132
-1.0638 1.1355 3.6892
6.4564 3.4064 3.7151
4.4238 1.1355 3.8118
1.1465 3.4064 6.6091
-0.8861 1.1355 6.7059
6.6341 3.4064 6.7318
-1.2960 1.1355 9.7078


8.
PBE Nb2Si3Pd2, relaxed; theoretical density = 7.08 Mg/m³; total magnetic moment = 0.001 μB/atom; VASP energy = -0.25634 Ha/atom
1.0
-6.4415 3.5484 3.5484
-3.5484 3.5484 6.4415
-3.5484 6.4415 3.5484
Nb Pd Si
2 2 3
Cartesian
-3.3533 3.3533 3.3533
-10.1780 10.1780 10.1780
0.0000 0.0000 0.0000
-6.7556 6.7556 6.7556
-5.2004 5.2004 5.2004
-8.5839 8.5839 8.5839
-11.6221 11.6221 11.6221


9.
PBE HoInNO, relaxed; theoretical density = 7.26 Mg/m³; total magnetic moment = 0.001 μB/atom; VASP energy = -0.23722 Ha/atom
1.0
2.2591 3.0221 0.3175
-4.4712 3.0944 2.3602
1.7308 -1.9000 5.7701
Ho In N O
2 2 2 2
Cartesian
-3.0007 4.2441 3.5323
0.3477 1.4754 6.0618
-1.7085 0.9541 3.0761
1.1318 -1.2571 3.9121
-3.3894 2.1033 4.0975
-0.6185 -0.0316 4.7019
-0.2336 2.3521 1.8529
-1.2432 2.5534 7.1203


10.
PBE Sm2Sn3Hg3, relaxed; theoretical density = 10.28 Mg/m³; total magnetic moment = 0.001 μB/atom; VASP energy = -0.11982 Ha/atom
1.0
-1.6893 3.3901 2.7054
-4.4609 -1.3295 -1.1195
-0.0813 -5.7175 7.1138
Hg Sm Sn
3 2 3
Cartesian
-3.0958 -0.4252 2.6040
-2.2711 -3.5235 2.9971
-3.1357 -3.2316 6.0957
-0.0201 -1.4112 1.7558
-0.0612 -4.3063 5.3580
-0.8447 1.6951 1.3527
-2.2305 -0.6647 -0.5598
-0.8853 -1.1637 4.9096


11.
PBE LuScCuPb, relaxed; theoretical density = 9.07 Mg/m³; total magnetic moment = 0.010 μB/atom; VASP energy = -0.16316 Ha/atom
1.0
-2.4049 -2.9631 3.2718
-1.2137 1.7493 4.5536
-4.8103 0.9045 1.1449
Cu Lu Pb Sc
1 1 1 1
Cartesian
-6.3217 -0.2320 6.7278
-4.2145 -0.1547 4.4852
0.0000 0.0000 0.0000
-2.1072 -0.0773 2.2426


12.
PBE Cu5Ag4, relaxed; theoretical density = 9.47 Mg/m³; energy relative to the elements = 100 meV per atom; VASP energy = -0.11833 Ha/atom
1.0
4.5503 -1.4003 0.0000
4.5503 1.4003 0.0000
-4.5482 0.0000 10.3093
Ag Cu
4 5
Cartesian
7.8829 0.0000 0.5844
2.8194 0.0000 2.9927
1.7330 0.0000 7.3166
-3.3305 0.0000 9.7249
5.3138 0.0000 1.8954
0.3256 0.0000 4.1333
-2.2741 0.0000 5.1547
4.2268 0.0000 6.1760
-0.7614 0.0000 8.4140